Entry 1:
Compound: CaGa2Ag2
Source: Alexandria via LeMat-Bulk
Functional: GGA-PBEsol
Structure: optimized geometry

a = 4.134 Å, b = 4.134 Å, c = 11.831 Å
α = 90.00°, β = 90.00°, γ = 90.00°
Space group I4/mmm (No. 139)
One atom of each set of equivalent atoms:
Ca 0.000 0.000 0.000 [2 per cell]
Ga 0.000 0.500 0.250 [4 per cell]
Ag 0.000 0.000 0.387 [4 per cell]

Energy   -33.436 eV/cell
Energy of formation   -25 kJ/mol of atoms

=====

Entry 2:
Compound: BaAl2Sb
Source: Alexandria via LeMat-Bulk
Functional: GGA-PBEsol
Structure: optimized geometry

a = 3.886 Å, b = 5.700 Å, c = 10.296 Å
α = 90.00°, β = 90.00°, γ = 90.00°
Space group Immm (No. 71)
One atom of each set of equivalent atoms:
Ba 0.000 0.000 0.000 [2 per cell]
Al 0.000 0.500 0.209 [4 per cell]
Sb 0.000 0.000 0.500 [2 per cell]

Energy   -30.216 eV/cell
Raw formation energy   -55 meV/atom

=====

Entry 3:
Compound: Li2BeOs
Source: Alexandria via LeMat-Bulk
Functional: GGA-PBEsol
Structure: optimized geometry

a = 4.607 Å, b = 8.617 Å, c = 2.447 Å
α = 90.00°, β = 90.00°, γ = 90.00°
Space group Cmmm (No. 65)
One atom of each set of equivalent atoms:
Li 0.250 0.250 0.000 [4 per cell]
Be 0.000 0.000 0.500 [2 per cell]
Os 0.000 0.500 0.500 [2 per cell]

Energy   -38.550 eV/cell
Energy of formation   21 kJ/mol of atoms

=====

Entry 4:
Compound: CrRe2Te
Source: Alexandria via LeMat-Bulk
Functional: GGA-PBEsol
Structure: optimized geometry

a = 5.298 Å, b = 8.872 Å, c = 2.907 Å
α = 90.00°, β = 114.47°, γ = 90.00°
Space group C2/m (No. 12)
One atom of each set of equivalent atoms:
Cr 0.000 0.000 0.000 [2 per cell]
Re 0.250 0.250 0.500 [4 per cell]
Te 0.000 0.500 0.000 [2 per cell]

Energy   -74.158 eV/cell
Raw formation energy   838 meV/atom

=====

Entry 5:
Compound: LiMg2Tc
Source: Alexandria via LeMat-Bulk
Functional: GGA-PBEsol
Structure: optimized geometry

a = 2.740 Å, b = 4.094 Å, c = 5.945 Å
α = 90.00°, β = 90.00°, γ = 90.00°
Space group Pmmm (No. 47)
One atom of each set of equivalent atoms:
Li 0.000 0.000 0.000 [1 per cell]
Mg 0.500 0.500 0.266 [2 per cell]
Tc 0.000 0.000 0.500 [1 per cell]

Energy   -15.595 eV/cell
Energy of formation   26 kJ/mol of atoms
Excess energy over the best structure of this formula in the dataset   3 meV per atom

=====

Entry 6:
Compound: Ta3C
Source: Alexandria via LeMat-Bulk
Functional: GGA-PBEsol
Structure: optimized geometry

a = 2.914 Å, b = 7.888 Å, c = 5.155 Å
α = 90.00°, β = 90.00°, γ = 90.00°
Space group Imm2 (No. 44)
One atom of each set of equivalent atoms:
Ta 0.000 0.000 0.000 [2 per cell]
Ta 0.000 0.179 0.519 [4 per cell]
C 0.000 0.500 0.817 [2 per cell]

Energy   -94.301 eV/cell
Energy of formation   4 kJ/mol of atoms
Excess energy over the best structure of this formula in the dataset   426 meV per atom

=====

Entry 7:
Compound: MgCdHg2
Source: Alexandria via LeMat-Bulk
Functional: GGA-PBEsol
Structure: optimized geometry

a = 9.961 Å, b = 3.594 Å, c = 4.882 Å
α = 90.00°, β = 100.27°, γ = 90.00°
Space group Cm (No. 8)
One atom of each set of equivalent atoms:
Mg 0.000 0.000 0.000 [2 per cell]
Cd 0.248 0.000 0.710 [2 per cell]
Hg 0.000 0.500 0.500 [2 per cell]
Hg 0.243 0.500 0.196 [2 per cell]

Energy   -9.225 eV/cell
Energy of formation   -14 kJ/mol of atoms

=====

Entry 8:
Compound: MgGa2Pt2
Source: Alexandria via LeMat-Bulk
Functional: GGA-PBEsol
Structure: optimized geometry

a = 3.754 Å, b = 3.754 Å, c = 12.062 Å
α = 90.00°, β = 90.00°, γ = 90.00°
Space group I4/mmm (No. 139)
One atom of each set of equivalent atoms:
Mg 0.000 0.000 0.000 [2 per cell]
Ga 0.000 0.500 0.250 [4 per cell]
Pt 0.000 0.000 0.391 [4 per cell]

Energy   -50.753 eV/cell
Energy of formation   -59 kJ/mol of atoms